Record 1
The following is a PBE calculation of a relaxed SrAc5Se8 crystal, from Alexandria via LeMat-Bulk.

Lattice parameters (Å, degrees): 8.132 8.132 8.132 109.46 109.46 109.49
Fractional positions:
Sr 0.000 0.000 0.000
Ac 0.243 0.122 0.623
Ac 0.380 0.757 0.879
Ac 0.499 0.620 0.377
Ac 0.750 0.250 0.500
Ac 0.878 0.501 0.121
Se 0.120 0.373 0.398
Se 0.129 0.382 0.902
Se 0.278 0.880 0.252
Se 0.479 0.227 0.098
Se 0.618 0.521 0.748
Se 0.627 0.026 0.748
Se 0.773 0.871 0.252
Se 0.974 0.722 0.602

The value obtained for the raw formation energy is -46.52 kcal/mol of atoms.

***

Record 2
The following is a PBE calculation of a relaxed SrAc5Se6 crystal, from Alexandria via LeMat-Bulk.

Lattice parameters (Å, degrees): 7.732 7.732 7.720 99.57 99.57 120.07
Fractional positions:
Sr 0.000 0.000 0.000
Ac 0.168 0.832 0.500
Ac 0.334 0.666 0.000
Ac 0.500 0.500 0.500
Ac 0.666 0.334 0.000
Ac 0.832 0.168 0.500
Se 0.082 0.411 0.247
Se 0.246 0.246 0.753
Se 0.411 0.082 0.247
Se 0.589 0.918 0.753
Se 0.754 0.754 0.247
Se 0.918 0.589 0.753

The value obtained for the raw formation energy is -43.52 kcal/mol of atoms.

***

Record 3
The following is a PBE calculation of a relaxed SrAc2TbSe4 crystal, from Alexandria via LeMat-Bulk.

Lattice parameters (Å, degrees): 7.525 4.322 7.623 90.00 108.91 90.00
Fractional positions:
Sr 0.000 0.000 0.000
Ac 0.000 0.500 0.500
Ac 0.500 0.000 0.500
Tb 0.500 0.500 0.000
Se 0.254 0.500 0.235
Se 0.265 0.000 0.772
Se 0.735 0.000 0.228
Se 0.746 0.500 0.765

The value obtained for the raw formation energy is -42.75 kcal/mol of atoms.

***

Record 4
The following is a PBE calculation of a relaxed SrAcTeSe crystal, from Alexandria via LeMat-Bulk.

Lattice parameters (Å, degrees): 4.552 4.552 22.893 90.00 90.00 120.00
Fractional positions:
Sr 0.000 0.000 0.000
Sr 0.333 0.667 0.667
Sr 0.667 0.333 0.333
Ac 0.000 0.000 0.512
Ac 0.333 0.667 0.179
Ac 0.667 0.333 0.845
Te 0.000 0.000 0.755
Te 0.333 0.667 0.422
Te 0.667 0.333 0.088
Se 0.000 0.000 0.258
Se 0.333 0.667 0.924
Se 0.667 0.333 0.591

The value obtained for the raw formation energy is -40.51 kcal/mol of atoms.

***

Record 5
The following is a PBE calculation of a relaxed Sr2AcTlSe4 crystal, from Alexandria via LeMat-Bulk.

Lattice parameters (Å, degrees): 7.754 4.524 7.847 90.00 108.68 90.00
Fractional positions:
Sr 0.000 0.000 0.000
Sr 0.000 0.500 0.500
Ac 0.500 0.000 0.500
Tl 0.500 0.500 0.000
Se 0.239 0.000 0.731
Se 0.249 0.500 0.260
Se 0.751 0.500 0.740
Se 0.761 0.000 0.269

The value obtained for the raw formation energy is -39.51 kcal/mol of atoms.

***

Record 6
The following is a PBE calculation of a relaxed SrAc2USe6 crystal, from Alexandria via LeMat-Bulk.

Lattice parameters (Å, degrees): 7.715 7.717 8.058 61.40 61.43 60.03
Fractional positions:
Sr 0.000 0.000 0.000
Ac 0.286 0.286 0.143
Ac 0.793 0.793 0.623
U 0.490 0.491 0.528
Se 0.119 0.393 0.804
Se 0.223 0.856 0.313
Se 0.393 0.685 0.803
Se 0.610 0.223 0.313
Se 0.684 0.119 0.804
Se 0.856 0.609 0.313

The value obtained for the raw formation energy is -39.43 kcal/mol of atoms.

***

Summary of raw total energy in eV per atom
-5.60, -5.48, -5.41, -4.86, -4.69, -5.92
(order as listed above)